Record 1
Material: Tb2Ga8Fe
Method: DFT, GGA-PBE
State: optimized geometry

```
Tb2Ga8Fe
1.0
4.235 0.000 0.000
0.000 4.235 0.000
0.000 0.000 11.253
Tb Ga Fe
2 8 1
Direct
0.000 0.000 0.196
0.000 0.000 0.804
0.000 0.500 0.000
0.000 0.500 0.386
0.000 0.500 0.614
0.500 0.000 0.000
0.500 0.000 0.386
0.500 0.000 0.614
0.500 0.500 0.198
0.500 0.500 0.802
0.000 0.000 0.500
```

## Properties
The space-group type is P4/mmm. The total energy comes out at -4.2523 eV per atom. Its crystal system is tetragonal.

Record 2
Material: TcBiB
Method: DFT, GGA-PBE
State: optimized geometry

```
TcBiB
1.0
0.000 2.919 2.919
2.919 0.000 2.919
2.919 2.919 0.000
Tc Bi B
1 1 1
Direct
0.000 0.000 0.000
0.500 0.500 0.500
0.750 0.750 0.750
```

## Properties
Its energy above the most stable polymorph in this dataset is 0.00 kcal/mol of atoms. The space-group type is F-43m. Its crystal system is cubic.